1.
Material: NaCrGe2
Method: DFT, PBEsol
State: relaxed

Lattice parameters (Å, degrees): 4.5478 4.5478 4.5478 60.00 60.00 60.00
Last column: nearest neighbours and their distance in Å.
Sites, in units of the cell vectors:
Na1 0.0000 0.0000 0.0000  8 Ge 2.78
Cr1 0.5000 0.5000 0.5000  8 Ge 2.78
Ge1 0.2500 0.2500 0.2500  4 Cr 2.78, 4 Na 2.78
Ge2 0.7500 0.7500 0.7500  4 Cr 2.78, 4 Na 2.78

Output
ΔH_f (0 K), eV/atom: 0.27
Crystal system: cubic
Volume, A^3/atom: 16.63
DFT total energy, eV/atom: -5.109

=====

2.
Material: NaCrGe2O6
Method: DFT, PBEsol
State: relaxed

Lattice parameters (Å, degrees): 6.6473 6.6473 5.4584 103.13 103.13 82.77
Last column: nearest neighbours and their distance in Å.
Sites, in units of the cell vectors:
Na1 0.1956 0.8044 0.7500  6 O 2.39-2.52
Na2 0.8044 0.1956 0.2500  6 O 2.39-2.52
Cr1 0.4127 0.5873 0.2500  6 O 1.94-2.04
Cr2 0.5873 0.4127 0.7500  6 O 1.94-2.04
Ge1 0.1141 0.3090 0.7791  4 O 1.73-1.78
Ge2 0.3090 0.1141 0.2791  4 O 1.73-1.78
Ge3 0.6910 0.8859 0.7209  4 O 1.73-1.78
Ge4 0.8859 0.6910 0.2209  4 O 1.73-1.78
O1 0.1237 0.1483 0.9974  2 Ge 1.76-1.78
O2 0.1357 0.5804 0.3048  1 Ge 1.73, 1 Cr 1.94
O3 0.1483 0.1237 0.4974  2 Ge 1.76-1.78
O4 0.3140 0.4801 0.8722  1 Ge 1.77
O5 0.4196 0.8643 0.1952  1 Ge 1.73, 1 Cr 1.94
O6 0.4801 0.3140 0.3722  1 Ge 1.77
O7 0.5199 0.6860 0.6278  1 Ge 1.77
O8 0.5804 0.1357 0.8048  1 Ge 1.73, 1 Cr 1.94
O9 0.6860 0.5199 0.1278  1 Ge 1.77
O10 0.8517 0.8763 0.5026  2 Ge 1.76-1.78
O11 0.8643 0.4196 0.6952  1 Ge 1.73, 1 Cr 1.94
O12 0.8763 0.8517 0.0026  2 Ge 1.76-1.78

Output
Crystal system: monoclinic
Volume, A^3/atom: 11.40
DFT total energy, eV/atom: -7.090
Formation energy without anion corrections, eV/atom: -1.79

=====

3.
Material: NdCrGe3
Method: DFT, PBEsol
State: relaxed

Lattice parameters (Å, degrees): 6.0676 6.0676 5.6259 90.00 90.00 120.00
Last column: nearest neighbours and their distance in Å.
Sites, in units of the cell vectors:
Nd1 0.3333 0.6667 0.2500  12 Ge 3.05-3.18
Nd2 0.6667 0.3333 0.7500  12 Ge 3.05-3.18
Cr1 0.0000 0.0000 0.0000  6 Ge 2.46
Cr2 0.0000 0.0000 0.5000  6 Ge 2.46
Ge1 0.1919 0.3837 0.7500  2 Cr 2.46, 2 Ge 2.58
Ge2 0.1919 0.8081 0.7500  2 Cr 2.46, 2 Ge 2.58
Ge3 0.3837 0.1919 0.2500  2 Cr 2.46, 2 Ge 2.58
Ge4 0.6163 0.8081 0.7500  2 Cr 2.46, 2 Ge 2.58
Ge5 0.8081 0.1919 0.2500  2 Cr 2.46, 2 Ge 2.58
Ge6 0.8081 0.6163 0.2500  2 Cr 2.46, 2 Ge 2.58

Output
ΔH_f (0 K), eV/atom: -0.45
Crystal system: hexagonal
Volume, A^3/atom: 17.94
DFT total energy, eV/atom: -6.494

=====

4.
Material: CrNiGe3
Method: DFT, PBEsol
State: relaxed

Lattice parameters (Å, degrees): 4.5022 4.5022 4.5022 90.00 90.00 90.00
Last column: nearest neighbours and their distance in Å.
Sites, in units of the cell vectors:
Cr1 0.0000 0.0000 0.0000  6 Ge 2.25
Ni1 0.5000 0.5000 0.5000  12 Ge 3.18
Ge1 0.0000 0.0000 0.5000  2 Cr 2.25
Ge2 0.0000 0.5000 0.0000  2 Cr 2.25
Ge3 0.5000 0.0000 0.0000  2 Cr 2.25

Output
ΔH_f (0 K), eV/atom: 0.69
Crystal system: cubic
Volume, A^3/atom: 18.25
DFT total energy, eV/atom: -5.554